NaPaInO5 (GGA-PBE, optimized geometry); total DFT energy (no corrections) = -111.82 eV per cell; energy relative to the elements, uncorrected = -17.57 eV/f.u.; theoretical density = 5.4 g cm⁻³; magnetization = 1.9 μB/cell
1.0
-5.740 0.743 -2.320
0.401 -5.291 3.275
0.369 5.760 5.807
Na Pa In O
2 2 2 10
Direct
0.324 0.676 0.250
0.676 0.324 0.750
0.000 0.000 0.500
0.000 0.000 0.000
0.695 0.305 0.250
0.305 0.695 0.750
0.076 0.924 0.250
0.924 0.076 0.750
0.952 0.315 0.127
0.048 0.685 0.873
0.685 0.048 0.373
0.315 0.952 0.627
0.769 0.628 0.435
0.231 0.372 0.565
0.372 0.231 0.065
0.628 0.769 0.935

***

Ba2SiPd2 (GGA-PBE, optimized geometry); total DFT energy (no corrections) = -22.33 eV per cell; energy relative to the elements, uncorrected = -2.68 eV/f.u.; theoretical density = 5.3 g cm⁻³; magnetization = 0.0 μB/cell
1.0
4.184 0.000 1.201
1.920 3.718 1.201
-0.647 -0.394 10.143
Ba Si Pd
2 1 2
Direct
0.425 0.425 0.726
0.575 0.575 0.274
0.000 0.000 0.000
0.687 0.687 0.940
0.313 0.313 0.060

***

Ca2ZrPCl (GGA-PBE, optimized geometry); total DFT energy (no corrections) = -20.74 eV per cell; energy relative to the elements, uncorrected = -0.93 eV/f.u.; theoretical density = 3.1 g cm⁻³; magnetization = 0.8 μB/cell
1.0
-4.003 -0.098 -3.214
-1.676 -3.892 2.206
-2.664 2.976 3.227
P Ca Zr Cl
1 2 1 1
Direct
0.500 0.500 0.500
0.000 0.000 0.500
0.500 0.000 0.000
0.000 0.500 0.000
0.000 0.000 0.000

***

FeP2S6 (GGA-PBE, optimized geometry); total DFT energy (no corrections) = -45.52 eV per cell; energy relative to the elements, uncorrected = -1.47 eV/f.u.; theoretical density = 2.4 g cm⁻³; magnetization = 2.0 μB/cell
1.0
-5.399 -2.225 0.128
4.415 -3.164 -2.147
1.275 -2.753 6.634
Fe P S
1 2 6
Direct
0.330 0.670 0.500
0.000 0.000 0.353
0.000 0.000 0.647
0.321 0.960 0.288
0.639 0.958 0.713
0.643 0.681 0.288
0.040 0.679 0.712
0.319 0.357 0.712
0.042 0.361 0.287

***

RbTlPd (GGA-PBE, optimized geometry); ΔE to the lowest computed polymorph = 53 meV per atom; total DFT energy (no corrections) = -17.71 eV per cell; theoretical density = 6.8 g cm⁻³; formation energy = -0.110 eV per atom; magnetization = 0.0 μB/cell
1.0
4.142 0.000 0.000
0.000 7.307 -0.008
0.000 -3.653 6.415
Rb Tl Pd
2 2 2
Direct
0.370 0.324 0.810
0.870 0.824 0.810
0.870 0.820 0.309
0.870 0.321 0.312
0.370 0.053 0.274
0.370 0.588 0.346

***

Pm2ScSi (GGA-PBE, optimized geometry); ΔE to the lowest computed polymorph = 0 meV per atom; total DFT energy (no corrections) = -22.30 eV per cell; energy relative to the elements, uncorrected = -1.05 eV/f.u.; theoretical density = 6.1 g cm⁻³; magnetization = 0.0 μB/cell
1.0
4.567 0.000 0.000
0.000 4.640 0.000
0.000 0.000 4.640
Sc Si Pm
1 1 2
Direct
0.500 0.500 0.500
0.500 0.000 0.000
0.000 0.000 0.500
0.000 0.500 0.000

***

TmThTcPt (GGA-PBE, optimized geometry); total DFT energy (no corrections) = -30.69 eV per cell; theoretical density = 13.3 g cm⁻³; formation energy = -0.598 eV per atom; magnetization = 0.0 μB/cell
1.0
4.963 0.000 0.000
2.481 4.298 0.000
2.481 1.433 4.052
Tm Pt Th Tc
1 1 1 1
Direct
0.500 0.500 0.500
0.250 0.250 0.250
0.000 0.000 0.000
0.750 0.750 0.750

***

Ba7Pt2Br2 (GGA-PBE, optimized geometry); total DFT energy (no corrections) = -37.13 eV per cell; energy relative to the elements, uncorrected = -8.24 eV/f.u.; theoretical density = 4.2 g cm⁻³; magnetization = 0.0 μB/cell
1.0
8.663 -0.054 -0.623
-0.891 7.902 -3.365
-0.077 0.288 8.630
Ba Pt Br
7 2 2
Direct
0.235 0.943 0.540
0.765 0.460 0.057
0.765 0.057 0.460
0.235 0.540 0.943
0.000 0.000 0.000
0.789 0.577 0.577
0.211 0.423 0.423
0.866 0.279 0.279
0.134 0.721 0.721
0.500 0.302 0.698
0.500 0.698 0.302

***

Question: Look up the magnetization of the sixth one.
Answer: 0.0 μB/cell